Here is CdCoBO4 after structural relaxation from Alexandria via LeMat-Bulk. Energies are from PBE with a Hubbard U.

a = 5.250 Å, b = 5.250 Å, c = 5.913 Å
α = 90.00°, β = 90.00°, γ = 111.69°
Last column: magnetic moment on the atom in μB.
Atoms (fractional coordinates):
1 O 0.768 0.232 0.541  0.21
2 O 0.232 0.768 0.041  0.21
3 O 0.173 0.225 0.750  0.18
4 O 0.768 0.232 0.959  0.21
5 O 0.225 0.173 0.250  0.18
6 O 0.232 0.768 0.459  0.21
7 O 0.775 0.827 0.750  0.18
8 O 0.827 0.775 0.250  0.18
9 B 0.138 0.862 0.250  0.00
10 B 0.862 0.138 0.750  0.00
11 Co 0.151 0.849 0.750  2.98
12 Co 0.849 0.151 0.250  2.98
13 Cd 0.500 0.500 0.000  0.02
14 Cd 0.500 0.500 0.500  0.02

Computed properties:
- E (eV/atom) = -6.06
- symmetry = Cmcm, No. 63
- crystal system = orthorhombic